Record 1
! K4LiNp3Te8 (GGA-PBE, relaxed); values from VASP
&SYSTEM
  ibrav = 0, nat = 16, ntyp = 4
/
ATOMIC_SPECIES
Np 237.00 Np.upf
Te 127.60 Te.upf
K 39.10 K.upf
Li 6.94 Li.upf
ATOMIC_POSITIONS angstrom
Np 4.531 4.831 0.205
Te -2.231 2.421 6.483
Te 0.000 4.648 3.325
K -2.266 -2.261 3.207
Te 2.231 2.421 6.483
Np -2.266 2.571 3.412
Te 6.763 2.720 0.341
Te 2.300 2.720 0.341
Li 0.000 4.831 0.205
Te 4.531 0.494 3.499
Np 2.266 2.571 3.412
Te 0.000 0.423 3.499
K 2.266 -2.261 3.207
K 4.531 0.000 0.000
K 0.000 0.000 0.000
Te 4.531 4.718 3.325
CELL_PARAMETERS angstrom
9.063 0.000 0.000
0.000 9.663 0.409
-4.531 -4.522 6.415
! total moment = 10.00 μB per formula unit
! formation energy from raw total energies = -0.88 eV/atom
! DOS(E_F) = 28.86 states/eV/cell

=====

Record 2
! Cd3Tc (GGA-PBE, relaxed); values from VASP
&SYSTEM
  ibrav = 0, nat = 8, ntyp = 2
/
ATOMIC_SPECIES
Cd 112.41 Cd.upf
Tc 98.00 Tc.upf
ATOMIC_POSITIONS angstrom
Cd 2.712 0.000 1.356
Tc 0.000 0.000 0.000
Cd 0.000 4.068 2.712
Tc 2.712 2.712 2.712
Cd 1.356 2.712 0.000
Cd 0.000 1.356 2.712
Cd 4.068 2.712 0.000
Cd 2.712 0.000 4.068
CELL_PARAMETERS angstrom
5.424 0.000 0.000
0.000 5.424 0.000
0.000 0.000 5.424
! distance to the lowest polymorph of the same formula = 300 meV per atom
! total moment = 1.58 μB per formula unit
! E_form = 2.22 eV per formula unit
! DOS(E_F) = 5.27 states/eV/cell